Entry from Alexandria: a relaxed CuTe2P crystal (PBE).

```
4
Lattice="4.625 -0.203 0.000 -2.944 3.573 0.000 0.000 0.000 7.410" Properties=species:S:1:pos:R:3 pbc="T T T"
Cu 0.840 1.685 1.853
P 0.840 1.685 5.558
Te 0.000 0.000 0.036
Te 0.000 0.000 3.669
```

Summary:
Fermi-level density of states ... 2.0 states/eV/cell
Spin magnetization ... 0.00 μB/f.u.
Formation energy (no corrections) ... 417 meV/atom
Space group ... Cmmm, No. 65